A geometry-optimized ZnCrRhO4 structure. Source: the Alexandria database, functional GGA+U.

Computed properties:
- DFT total energy (eV/atom) = -6.54
- volume (Å³/cell) = 157
- spin magnetization (Bohr magnetons per cell) = 6.00
- space group = Imma, No. 74

Cell and atoms, written as POSCAR:
```
ZnCrRhO4
1.0
-2.444 -4.222 3.520
-0.343 -5.709 -1.944
3.519 -4.191 2.557
Zn Cr Rh O
2 2 2 8
Cartesian
-1.330 -6.702 1.319
2.062 -7.420 2.814
0.537 -4.206 3.039
1.759 -2.095 1.279
0.000 0.000 0.000
1.588 -4.950 0.306
0.416 -10.600 2.996
1.699 -8.552 1.204
-0.967 -5.570 2.929
0.316 -3.521 1.137
0.122 -6.372 -0.038
-1.191 -8.640 1.853
1.923 -5.481 2.280
0.610 -7.750 4.171
```